Below is a relaxed UAlZnRe crystal, with properties calculated at the PBE level.

Magnetic moment = 1.130 μB/f.u.
E = -28.0 eV for the cell shown
SG = No. 216

Cell lengths 4.639, 4.639, 4.639 Å; angles 60.00, 60.00, 60.00 degrees
Atoms (fractional coordinates):
U: 0.000 0.000 0.000
Al: 0.500 0.500 0.500
Zn: 0.250 0.250 0.250
Re: 0.750 0.750 0.750


Below is a relaxed BaLiSnRh crystal, with properties calculated at the PBE level.

Magnetic moment = 0.000 μB/f.u.
E = -17.1 eV for the cell shown
SG = No. 160

Cell lengths 6.210, 6.210, 6.210 Å; angles 44.14, 44.14, 44.14 degrees
Atoms (fractional coordinates):
Ba: 0.000 0.000 0.000
Li: 0.815 0.815 0.815
Sn: 0.518 0.518 0.518
Rh: 0.193 0.193 0.193


Below is a relaxed LiTa2Cl crystal, with properties calculated at the PBE level.

Formation energy (no corrections) = -0.07 eV/atom
Magnetic moment = 0.000 μB/f.u.
Relative energy among the computed polymorphs = 66 meV/atom
SG = No. 99

Cell lengths 3.351, 3.351, 8.132 Å; angles 90.00, 90.00, 90.00 degrees
Atoms (fractional coordinates):
Li: 0.000 0.000 0.000
Ta: 0.000 0.000 0.411
Ta: 0.500 0.500 0.250
Cl: 0.500 0.500 0.928


Below is a relaxed Hf2ZrCuN crystal, with properties calculated at the PBE level.

Formation energy (no corrections) = -0.70 eV/atom
Magnetic moment = 0.000 μB/f.u.
SG = No. 123

Cell lengths 4.364, 4.364, 4.445 Å; angles 90.00, 90.00, 90.00 degrees
Atoms (fractional coordinates):
Hf: 0.000 0.500 0.000
Hf: 0.500 0.000 0.000
Zr: 0.000 0.000 0.500
Cu: 0.500 0.500 0.500
N: 0.000 0.000 0.000


Below is a relaxed CsHI3 crystal, with properties calculated at the PBE level.

Magnetic moment = 0.000 μB/f.u.
Relative energy among the computed polymorphs = 0 meV/atom
SG = No. 2

Cell lengths 7.183, 8.458, 10.398 Å; angles 102.77, 91.16, 113.23 degrees
Atoms (fractional coordinates):
Cs: 0.150 0.308 0.306
Cs: 0.850 0.692 0.694
H: 0.096 0.330 0.819
H: 0.904 0.670 0.181
I: 0.040 0.815 0.089
I: 0.264 0.505 0.690
I: 0.423 0.850 0.556
I: 0.577 0.150 0.444
I: 0.736 0.495 0.310
I: 0.960 0.185 0.911


Below is a relaxed ScMo2Ir crystal, with properties calculated at the PBE level.

Magnetic moment = 0.000 μB/f.u.
Relative energy among the computed polymorphs = 101 meV/atom
SG = No. 139

Cell lengths 5.314, 5.314, 5.314 Å; angles 138.16, 138.16, 60.66 degrees
Atoms (fractional coordinates):
Sc: 0.000 0.000 0.000
Mo: 0.250 0.750 0.500
Mo: 0.750 0.250 0.500
Ir: 0.500 0.500 0.000


Below is a relaxed TcSnP crystal, with properties calculated at the PBE level.

Magnetic moment = 0.000 μB/f.u.
Relative energy among the computed polymorphs = 42 meV/atom
SG = No. 12

Cell lengths 5.770, 5.770, 6.781 Å; angles 97.71, 97.71, 31.73 degrees
Atoms (fractional coordinates):
Tc: 0.239 0.239 0.171
Tc: 0.761 0.761 0.829
Sn: 0.129 0.129 0.526
Sn: 0.871 0.871 0.474
P: 0.399 0.399 0.977
P: 0.601 0.601 0.023


Below is a relaxed Sr2Sn3Pd5 crystal, with properties calculated at the PBE level.

Magnetic moment = 0.000 μB/f.u.
Relative energy among the computed polymorphs = 0 meV/atom
SG = No. 72

Cell lengths 9.071, 9.071, 9.071 Å; angles 104.15, 90.29, 138.63 degrees
Atoms (fractional coordinates):
Sr: 0.131 0.232 0.363
Sr: 0.369 0.732 0.100
Sr: 0.631 0.268 0.900
Sr: 0.869 0.768 0.637
Sn: 0.142 0.898 0.040
Sn: 0.250 0.750 0.500
Sn: 0.358 0.398 0.756
Sn: 0.642 0.602 0.244
Sn: 0.750 0.250 0.500
Sn: 0.858 0.102 0.960
Pd: 0.033 0.750 0.283
Pd: 0.103 0.665 0.768
Pd: 0.250 0.250 0.000
Pd: 0.397 0.165 0.562
Pd: 0.467 0.750 0.717
Pd: 0.533 0.250 0.283
Pd: 0.603 0.835 0.438
Pd: 0.750 0.750 0.000
Pd: 0.897 0.335 0.232
Pd: 0.967 0.250 0.717


Below is a relaxed As2WAu crystal, with properties calculated at the PBE level.

Magnetic moment = 0.000 μB/f.u.
Relative energy among the computed polymorphs = 0 meV/atom
SG = No. 166

Cell lengths 8.426, 8.426, 8.426 Å; angles 21.74, 21.74, 21.74 degrees
Atoms (fractional coordinates):
As: 0.241 0.241 0.241
As: 0.759 0.759 0.759
W: 0.500 0.500 0.500
Au: 0.000 0.000 0.000


Below is a relaxed Ba3BiBr crystal, with properties calculated at the PBE level.

Formation energy (no corrections) = -0.75 eV/atom
Magnetic moment = 0.000 μB/f.u.
Relative energy among the computed polymorphs = 200 meV/atom
SG = No. 221

Cell lengths 6.145, 6.145, 6.145 Å; angles 90.00, 90.00, 90.00 degrees
Atoms (fractional coordinates):
Ba: 0.000 0.000 0.500
Ba: 0.000 0.500 0.000
Ba: 0.500 0.000 0.000
Bi: 0.500 0.500 0.500
Br: 0.000 0.000 0.000


Below is a relaxed H2Ru2Rh crystal, with properties calculated at the PBE level.

Magnetic moment = 0.000 μB/f.u.
Relative energy among the computed polymorphs = 0 meV/atom
SG = No. 139

Cell lengths 4.750, 4.750, 4.750 Å; angles 137.62, 137.62, 61.49 degrees
Atoms (fractional coordinates):
H: 0.250 0.750 0.500
H: 0.750 0.250 0.500
Ru: 0.158 0.158 0.000
Ru: 0.842 0.842 0.000
Rh: 0.500 0.500 0.000


Below is a relaxed Na2Ir2PtSe6 crystal, with properties calculated at the PBE level.

Formation energy (no corrections) = -0.54 eV/atom
Magnetic moment = 0.000 μB/f.u.
SG = No. 12

Cell lengths 6.608, 6.608, 7.107 Å; angles 98.77, 98.77, 120.18 degrees
Atoms (fractional coordinates):
Na: 0.163 0.837 0.000
Na: 0.837 0.163 0.000
Ir: 0.332 0.668 0.500
Ir: 0.668 0.332 0.500
Pt: 0.000 0.000 0.500
Se: 0.060 0.397 0.685
Se: 0.274 0.274 0.313
Se: 0.397 0.060 0.685
Se: 0.603 0.940 0.315
Se: 0.726 0.726 0.687
Se: 0.940 0.603 0.315